No. 1
Here is a relaxed structure of TlBr from Alexandria via LeMat-Bulk. Energies are from PBE.

Geometry as POSCAR:
```
TlBr
1.0
8.8013 -2.2759 0.0000
8.8013 2.2759 0.0000
-2.3269 0.0000 7.6377
Tl Br
4 4
Direct
0.0000 0.0000 0.0000
0.0000 0.0000 0.5000
0.2438 0.2438 0.2686
0.7562 0.7562 0.7314
0.1551 0.1551 0.8518
0.4048 0.4048 0.6877
0.5952 0.5952 0.3123
0.8449 0.8449 0.1482
```

Calculated values
V (Å³/cell): 306.0
ΔE_f (raw) (eV/atom): -0.835
M_tot (μB/f.u.): 0.00

***

No. 2
Here is a relaxed structure of Tl2Br from Alexandria via LeMat-Bulk. Energies are from PBE.

Geometry as POSCAR:
```
Tl2Br
1.0
-3.3701 3.3701 4.7984
3.3701 -3.3701 4.7984
3.3701 3.3701 -4.7984
Tl Br
4 2
Direct
0.1838 0.6838 0.8675
0.3162 0.1838 0.5000
0.6838 0.8162 0.5000
0.8162 0.3162 0.1325
0.2500 0.2500 0.0000
0.7500 0.7500 0.0000
```

Calculated values
V (Å³/cell): 218.0
ΔE_f (raw) (eV/atom): -0.437
M_tot (μB/f.u.): 0.00

***

No. 3
Here is a relaxed structure of TlBr from Alexandria via LeMat-Bulk. Energies are from PBE.

Geometry as POSCAR:
```
TlBr
1.0
2.2486 -6.4167 0.0000
2.2486 6.4167 0.0000
0.0000 0.0000 4.9970
Tl Br
2 2
Direct
0.1181 0.8819 0.7500
0.8819 0.1181 0.2500
0.3642 0.6358 0.7500
0.6358 0.3642 0.2500
```

Calculated values
V (Å³/cell): 144.2
ΔE_f (raw) (eV/atom): -0.842
M_tot (μB/f.u.): 0.00

***

no.,energy above the most stable polymorph in this dataset (eV/f.u.)
1,0.06
2,0.03
3,0.04